(1)
Density functional theory data (GGA-PBE) for an optimized crystal structure of PrSm6Tm12.

Values from the calculation:
Calculated volume   31.43 A^3/atom
Polymorph energy (0 for the lowest one)   0.000 eV per formula unit
ΔH_f (0 K)   0.02 eV per atom

Cell and atoms, written as CIF:
```
data_PrSm6Tm12
_cell_length_a 9.371
_cell_length_b 9.371
_cell_length_c 9.371
_cell_angle_alpha 110.92
_cell_angle_beta 110.92
_cell_angle_gamma 110.92
_space_group_name_H-M_alt 'P 1'
_space_group_IT_number 1
loop_
_space_group_symop_operation_xyz
'x,y,z'
loop_
_atom_site_label
_atom_site_type_symbol
_atom_site_fract_x
_atom_site_fract_y
_atom_site_fract_z
Pr1 Pr 0.000 0.000 0.000
Sm1 Sm 0.054 0.369 0.578
Sm2 Sm 0.369 0.578 0.054
Sm3 Sm 0.422 0.946 0.631
Sm4 Sm 0.578 0.054 0.369
Sm5 Sm 0.631 0.422 0.946
Sm6 Sm 0.946 0.631 0.422
Tm1 Tm 0.106 0.737 0.158
Tm2 Tm 0.158 0.106 0.737
Tm3 Tm 0.211 0.474 0.316
Tm4 Tm 0.263 0.842 0.894
Tm5 Tm 0.316 0.211 0.474
Tm6 Tm 0.474 0.316 0.211
Tm7 Tm 0.526 0.684 0.789
Tm8 Tm 0.684 0.789 0.526
Tm9 Tm 0.737 0.158 0.106
Tm10 Tm 0.789 0.526 0.684
Tm11 Tm 0.842 0.894 0.263
Tm12 Tm 0.894 0.263 0.842
```

***

(2)
Density functional theory data (GGA-PBE) for an optimized crystal structure of KHf2RuW.

Values from the calculation:
Calculated volume   24.95 A^3/atom
ΔH_f (0 K)   1.63 eV per atom

Cell and atoms, written as CIF:
```
data_KHf2RuW
_cell_length_a 4.938
_cell_length_b 4.938
_cell_length_c 5.115
_cell_angle_alpha 90.00
_cell_angle_beta 90.00
_cell_angle_gamma 90.00
_space_group_name_H-M_alt 'P 1'
_space_group_IT_number 1
loop_
_space_group_symop_operation_xyz
'x,y,z'
loop_
_atom_site_label
_atom_site_type_symbol
_atom_site_fract_x
_atom_site_fract_y
_atom_site_fract_z
K1 K 0.000 0.000 0.000
Hf1 Hf 0.000 0.500 0.500
Hf2 Hf 0.500 0.000 0.500
Ru1 Ru 0.000 0.000 0.500
W1 W 0.500 0.500 0.000
```

***

> Among the records above, which one has the highest calculated volume?

PrSm6Tm12